1.
{"formula": "Rb2ZnCl", "functional": "PBE", "state": "optimized geometry", "magmom_total_mub_per_cell": 0.9, "formation_energy_uncorrected_ev_per_atom": -0.611, "lattice": [[0.000, 4.300, 4.300], [4.300, 0.000, 4.300], [4.300, 4.300, 0.000]], "species": ["Rb", "Rb", "Zn", "Cl"], "fractional_positions": [[0.250, 0.250, 0.250], [0.750, 0.750, 0.750], [0.000, 0.000, 0.000], [0.500, 0.500, 0.500]]}

=====

2.
{"formula": "Rb3ZnCl5", "functional": "PBE", "state": "optimized geometry", "magmom_total_mub_per_cell": 0.3, "formation_energy_uncorrected_ev_per_atom": -1.722, "lattice": [[-4.509, 4.509, 7.188], [4.509, -4.509, 7.188], [4.509, 4.509, -7.188]], "species": ["Rb", "Rb", "Rb", "Rb", "Rb", "Rb", "Zn", "Zn", "Cl", "Cl", "Cl", "Cl", "Cl", "Cl", "Cl", "Cl", "Cl", "Cl"], "fractional_positions": [[0.166, 0.666, 0.832], [0.250, 0.250, 0.000], [0.334, 0.166, 0.500], [0.666, 0.834, 0.500], [0.750, 0.750, 0.000], [0.834, 0.334, 0.168], [0.250, 0.750, 0.500], [0.750, 0.250, 0.500], [0.000, 0.000, 0.000], [0.011, 0.795, 0.500], [0.205, 0.705, 0.216], [0.295, 0.511, 0.500], [0.489, 0.989, 0.784], [0.500, 0.500, 0.000], [0.511, 0.011, 0.216], [0.705, 0.489, 0.500], [0.795, 0.295, 0.784], [0.989, 0.205, 0.500]]}

=====

3.
{"formula": "Rb2ZnCl4", "functional": "PBE", "state": "optimized geometry", "magmom_total_mub_per_cell": 0.0, "formation_energy_uncorrected_ev_per_atom": -1.664, "lattice": [[9.446, 0.000, 0.000], [0.000, 7.241, 0.000], [0.000, 0.000, 13.361]], "species": ["Rb", "Rb", "Rb", "Rb", "Rb", "Rb", "Rb", "Rb", "Zn", "Zn", "Zn", "Zn", "Cl", "Cl", "Cl", "Cl", "Cl", "Cl", "Cl", "Cl", "Cl", "Cl", "Cl", "Cl", "Cl", "Cl", "Cl", "Cl"], "fractional_positions": [[0.015, 0.250, 0.178], [0.128, 0.750, 0.429], [0.372, 0.250, 0.929], [0.485, 0.750, 0.678], [0.515, 0.250, 0.322], [0.628, 0.750, 0.071], [0.872, 0.250, 0.571], [0.985, 0.750, 0.822], [0.222, 0.750, 0.073], [0.278, 0.250, 0.573], [0.722, 0.750, 0.427], [0.778, 0.250, 0.927], [0.017, 0.250, 0.920], [0.180, 0.502, 0.650], [0.180, 0.998, 0.650], [0.187, 0.250, 0.413], [0.313, 0.750, 0.913], [0.320, 0.002, 0.150], [0.320, 0.498, 0.150], [0.483, 0.750, 0.420], [0.517, 0.250, 0.580], [0.680, 0.502, 0.850], [0.680, 0.998, 0.850], [0.687, 0.250, 0.087], [0.813, 0.750, 0.587], [0.820, 0.002, 0.350], [0.820, 0.498, 0.350], [0.983, 0.750, 0.080]]}

=====

4.
{"formula": "Rb2ZnCl4", "functional": "PBE", "state": "optimized geometry", "magmom_total_mub_per_cell": 0.0, "formation_energy_uncorrected_ev_per_atom": -1.665, "lattice": [[7.275, 0.000, 0.000], [0.000, 7.259, 0.000], [-2.992, 0.000, 8.848]], "species": ["Rb", "Rb", "Rb", "Rb", "Zn", "Zn", "Cl", "Cl", "Cl", "Cl", "Cl", "Cl", "Cl", "Cl"], "fractional_positions": [[0.208, 0.250, 0.044], [0.291, 0.250, 0.575], [0.709, 0.750, 0.425], [0.792, 0.750, 0.956], [0.217, 0.750, 0.792], [0.783, 0.250, 0.208], [0.009, 0.503, 0.733], [0.009, 0.997, 0.733], [0.377, 0.750, 0.047], [0.418, 0.750, 0.647], [0.582, 0.250, 0.353], [0.623, 0.250, 0.953], [0.991, 0.003, 0.267], [0.991, 0.497, 0.267]]}

=====

5.
{"formula": "RbZn2Cl", "functional": "PBE", "state": "optimized geometry", "magmom_total_mub_per_cell": 0.0, "formation_energy_uncorrected_ev_per_atom": -0.246, "lattice": [[0.000, 4.080, 4.080], [4.080, 0.000, 4.080], [4.080, 4.080, 0.000]], "species": ["Rb", "Zn", "Zn", "Cl"], "fractional_positions": [[0.000, 0.000, 0.000], [0.250, 0.250, 0.250], [0.750, 0.750, 0.750], [0.500, 0.500, 0.500]]}

=====

6.
{"formula": "RbZnCl2", "functional": "PBE", "state": "optimized geometry", "magmom_total_mub_per_cell": 0.0, "formation_energy_uncorrected_ev_per_atom": -1.064, "lattice": [[-3.175, 3.175, 7.200], [3.175, -3.175, 7.200], [3.175, 3.175, -7.200]], "species": ["Rb", "Rb", "Zn", "Zn", "Cl", "Cl", "Cl", "Cl"], "fractional_positions": [[0.000, 0.000, 0.000], [0.750, 0.250, 0.500], [0.250, 0.750, 0.500], [0.500, 0.500, 0.000], [0.219, 0.625, 0.094], [0.375, 0.469, 0.594], [0.531, 0.125, 0.906], [0.875, 0.781, 0.406]]}

=====

7.
{"formula": "Rb2ZnCl", "functional": "PBE", "state": "optimized geometry", "magmom_total_mub_per_cell": 0.0, "formation_energy_uncorrected_ev_per_atom": -0.683, "lattice": [[-4.591, 4.591, 4.775], [4.591, -4.591, 4.775], [4.591, 4.591, -4.775]], "species": ["Rb", "Rb", "Rb", "Rb", "Zn", "Zn", "Cl", "Cl"], "fractional_positions": [[0.075, 0.625, 0.950], [0.375, 0.325, 0.450], [0.675, 0.125, 0.050], [0.875, 0.925, 0.550], [0.250, 0.750, 0.500], [0.500, 0.500, 0.000], [0.000, 0.000, 0.000], [0.750, 0.250, 0.500]]}

=====

8.
{"formula": "Rb3Zn5Cl12", "functional": "PBE", "state": "optimized geometry", "magmom_total_mub_per_cell": 0.0, "formation_energy_uncorrected_ev_per_atom": -1.286, "lattice": [[-8.236, 8.236, 8.236], [8.236, -8.236, 8.236], [8.236, 8.236, -8.236]], "species": ["Rb", "Rb", "Rb", "Rb", "Rb", "Rb", "Rb", "Rb", "Rb", "Rb", "Rb", "Rb", "Zn", "Zn", "Zn", "Zn", "Zn", "Zn", "Zn", "Zn", "Zn", "Zn", "Zn", "Zn", "Zn", "Zn", "Zn", "Zn", "Zn", "Zn", "Zn", "Zn", "Cl", "Cl", "Cl", "Cl", "Cl", "Cl", "Cl", "Cl", "Cl", "Cl", "Cl", "Cl", "Cl", "Cl", "Cl", "Cl", "Cl", "Cl", "Cl", "Cl", "Cl", "Cl", "Cl", "Cl", "Cl", "Cl", "Cl", "Cl", "Cl", "Cl", "Cl", "Cl", "Cl", "Cl", "Cl", "Cl", "Cl", "Cl", "Cl", "Cl", "Cl", "Cl", "Cl", "Cl", "Cl", "Cl", "Cl", "Cl"], "fractional_positions": [[0.125, 0.250, 0.375], [0.125, 0.375, 0.750], [0.250, 0.375, 0.125], [0.250, 0.875, 0.625], [0.375, 0.125, 0.250], [0.375, 0.750, 0.125], [0.625, 0.250, 0.875], [0.625, 0.875, 0.750], [0.750, 0.125, 0.375], [0.750, 0.625, 0.875], [0.875, 0.625, 0.250], [0.875, 0.750, 0.625], [0.000, 0.000, 0.000], [0.000, 0.000, 0.500], [0.000, 0.500, 0.000], [0.000, 0.500, 0.500], [0.125, 0.750, 0.875], [0.125, 0.875, 0.250], [0.250, 0.125, 0.875], [0.250, 0.625, 0.375], [0.375, 0.250, 0.625], [0.375, 0.625, 0.750], [0.500, 0.000, 0.000], [0.500, 0.000, 0.500], [0.500, 0.500, 0.000], [0.500, 0.500, 0.500], [0.625, 0.375, 0.250], [0.625, 0.750, 0.375], [0.750, 0.375, 0.625], [0.750, 0.875, 0.125], [0.875, 0.125, 0.750], [0.875, 0.250, 0.125], [0.007, 0.192, 0.108], [0.007, 0.314, 0.899], [0.085, 0.692, 0.686], [0.085, 0.892, 0.399], [0.101, 0.608, 0.415], [0.101, 0.993, 0.686], [0.108, 0.007, 0.192], [0.108, 0.601, 0.915], [0.186, 0.192, 0.585], [0.186, 0.493, 0.601], [0.192, 0.108, 0.007], [0.192, 0.585, 0.186], [0.308, 0.314, 0.915], [0.308, 0.493, 0.392], [0.314, 0.899, 0.007], [0.314, 0.915, 0.308], [0.392, 0.308, 0.493], [0.392, 0.585, 0.899], [0.399, 0.085, 0.892], [0.399, 0.814, 0.507], [0.415, 0.101, 0.608], [0.415, 0.814, 0.808], [0.493, 0.392, 0.308], [0.493, 0.601, 0.186], [0.507, 0.399, 0.814], [0.507, 0.608, 0.692], [0.585, 0.186, 0.192], [0.585, 0.899, 0.392], [0.601, 0.186, 0.493], [0.601, 0.915, 0.108], [0.608, 0.415, 0.101], [0.608, 0.692, 0.507], [0.686, 0.085, 0.692], [0.686, 0.101, 0.993], [0.692, 0.507, 0.608], [0.692, 0.686, 0.085], [0.808, 0.415, 0.814], [0.808, 0.892, 0.993], [0.814, 0.507, 0.399], [0.814, 0.808, 0.415], [0.892, 0.399, 0.085], [0.892, 0.993, 0.808], [0.899, 0.007, 0.314], [0.899, 0.392, 0.585], [0.915, 0.108, 0.601], [0.915, 0.308, 0.314], [0.993, 0.686, 0.101], [0.993, 0.808, 0.892]]}